<P>
Material: EuPaPd2
Method: DFT, PBE
State: optimized geometry

abc: 4.802 4.802 5.492
angles: 64.07 64.07 60.00
Atoms (fractional coordinates):
Eu: 0.500 0.500 0.500
Pa: 0.000 0.000 0.000
Pd: 0.722 0.722 0.835
Pd: 0.278 0.278 0.165

The calculated density is 10.4 Mg/m³. Its space group is No. 166.



<Q>
Material: EuPaPd2
Method: DFT, PBE
State: optimized geometry

abc: 3.583 3.583 7.340
angles: 90.00 90.00 90.00
Atoms (fractional coordinates):
Eu: 0.500 0.500 0.500
Pa: 0.500 0.500 0.000
Pd: 0.000 0.000 0.795
Pd: 0.000 0.000 0.205

The calculated density is 10.5 Mg/m³. Its space group is No. 123.



Quick one: least stable of them? <P>



<P>
Material: EuPaRh
Method: DFT, PBE
State: optimized geometry

abc: 4.533 4.510 4.510
angles: 120.00 90.00 90.00
Atoms (fractional coordinates):
Eu: 0.667 0.333 0.667
Pa: 0.199 0.667 0.333
Rh: 0.134 0.000 0.000

The calculated density is 10.1 Mg/m³. Its space group is No. 156.



<Q>
Material: EuPaRh
Method: DFT, PBE
State: optimized geometry

abc: 3.573 3.573 6.254
angles: 106.60 106.60 90.00
Atoms (fractional coordinates):
Eu: 0.003 0.003 0.006
Pa: 0.300 0.300 0.600
Rh: 0.697 0.697 0.394

The calculated density is 11.0 Mg/m³. Its space group is No. 107.



Quick one: least stable of them? <P>



<P>
Material: EuPaRh2
Method: DFT, PBE
State: optimized geometry

abc: 3.472 3.472 7.323
angles: 90.00 90.00 90.00
Atoms (fractional coordinates):
Eu: 0.500 0.500 0.500
Pa: 0.500 0.500 0.000
Rh: 0.000 0.000 0.799
Rh: 0.000 0.000 0.201

The calculated density is 11.1 Mg/m³. Its space group is No. 123.



<Q>
Material: EuPaRh2
Method: DFT, PBE
State: optimized geometry

abc: 3.850 3.850 7.668
angles: 75.46 75.46 60.00
Atoms (fractional coordinates):
Eu: 0.500 0.500 0.500
Pa: 0.000 0.000 0.000
Rh: 0.738 0.738 0.786
Rh: 0.262 0.262 0.214

The calculated density is 10.4 Mg/m³. Its space group is No. 166.



<R>
Material: EuPaRh2
Method: DFT, PBE
State: optimized geometry

abc: 4.905 4.905 4.905
angles: 60.00 60.00 60.00
Atoms (fractional coordinates):
Eu: 0.000 0.000 0.000
Pa: 0.500 0.500 0.500
Rh: 0.250 0.250 0.250
Rh: 0.750 0.750 0.750

The calculated density is 11.7 Mg/m³. Its space group is No. 225.



Quick one: least stable of them? <R>



<P>
Material: EuPaRu2
Method: DFT, PBE
State: optimized geometry

abc: 3.421 3.421 7.270
angles: 90.00 90.00 90.00
Atoms (fractional coordinates):
Eu: 0.500 0.500 0.500
Ru: 0.000 0.000 0.799
Ru: 0.000 0.000 0.201
Pa: 0.500 0.500 0.000

The calculated density is 11.4 Mg/m³. Its space group is No. 123.



<Q>
Material: EuPaRu2
Method: DFT, PBE
State: optimized geometry

abc: 3.490 4.824 4.824
angles: 90.00 90.00 90.00
Atoms (fractional coordinates):
Eu: 0.500 0.500 0.500
Ru: 0.000 0.000 0.500
Ru: 0.000 0.500 0.000
Pa: 0.500 0.000 0.000

The calculated density is 12.0 Mg/m³. Its space group is No. 123.



Quick one: least stable of them? <Q>



<P>
Material: EuPaRu
Method: DFT, PBE
State: optimized geometry

abc: 3.417 4.734 4.734
angles: 120.00 90.00 90.00
Atoms (fractional coordinates):
Eu: 0.671 0.333 0.667
Ru: 0.048 0.000 0.000
Pa: 0.281 0.667 0.333

The calculated density is 12.1 Mg/m³. Its space group is No. 156.



<Q>
Material: EuPaRu
Method: DFT, PBE
State: optimized geometry

abc: 3.530 3.530 6.349
angles: 106.14 106.14 90.00
Atoms (fractional coordinates):
Eu: 0.004 0.004 0.008
Ru: 0.700 0.700 0.399
Pa: 0.297 0.297 0.593

The calculated density is 11.1 Mg/m³. Its space group is No. 107.



Quick one: least stable of them? <P>



<P>
Material: EuSc2Pa
Method: DFT, PBE
State: optimized geometry

abc: 3.337 3.337 9.931
angles: 90.00 90.00 90.00
Atoms (fractional coordinates):
Eu: 0.500 0.500 0.500
Sc: 0.000 0.000 0.780
Sc: 0.000 0.000 0.220
Pa: 0.500 0.500 0.000

The calculated density is 7.1 Mg/m³. Its space group is No. 123.



<Q>
Material: EuSc2Pa
Method: DFT, PBE
State: optimized geometry

abc: 3.198 3.198 12.037
angles: 82.37 82.37 60.00
Atoms (fractional coordinates):
Eu: 0.500 0.500 0.500
Sc: 0.084 0.084 0.748
Sc: 0.916 0.916 0.252
Pa: 0.000 0.000 0.000

The calculated density is 7.5 Mg/m³. Its space group is No. 166.



Quick one: least stable of them? <Q>



<P>
Material: EuPa2Tc
Method: DFT, PBE
State: optimized geometry

abc: 3.310 3.310 9.411
angles: 90.00 90.00 90.00
Atoms (fractional coordinates):
Eu: 0.500 0.500 0.500
Pa: 0.000 0.000 0.811
Pa: 0.000 0.000 0.189
Tc: 0.500 0.500 0.000

The calculated density is 11.5 Mg/m³. Its space group is No. 123.



<Q>
Material: EuPa2Tc
Method: DFT, PBE
State: optimized geometry

abc: 3.201 3.201 11.447
angles: 81.96 81.96 60.00
Atoms (fractional coordinates):
Eu: 0.500 0.500 0.500
Pa: 0.927 0.927 0.220
Pa: 0.073 0.073 0.780
Tc: 0.000 0.000 0.000

The calculated density is 11.8 Mg/m³. Its space group is No. 166.



Quick one: least stable of them? <Q>



<P>
Material: EuPaTc2
Method: DFT, PBE
State: optimized geometry

abc: 3.423 3.423 7.273
angles: 90.00 90.00 90.00
Atoms (fractional coordinates):
Eu: 0.500 0.500 0.500
Pa: 0.500 0.500 0.000
Tc: 0.000 0.000 0.797
Tc: 0.000 0.000 0.203

The calculated density is 11.3 Mg/m³. Its space group is No. 123.



<Q>
Material: EuPaTc2
Method: DFT, PBE
State: optimized geometry

abc: 4.861 4.861 4.861
angles: 60.00 60.00 60.00
Atoms (fractional coordinates):
Eu: 0.000 0.000 0.000
Pa: 0.500 0.500 0.500
Tc: 0.250 0.250 0.250
Tc: 0.750 0.750 0.750

The calculated density is 11.8 Mg/m³. Its space group is No. 225.



Quick one: least stable of them? <Q>